No. 1
Computed, not measured: a relaxed structure of CaSmIn at the GGA-PBE level of DFT.

a b c (Å): 5.337 5.337 7.809
angles (deg): 90.00 90.00 120.00
Sites, in units of the cell vectors:
1 Ca 0.333 0.667 0.376
2 Ca 0.667 0.333 0.624
3 Sm 0.333 0.667 0.897
4 Sm 0.667 0.333 0.103
5 In 0.000 0.000 0.207
6 In 0.000 0.000 0.793

ΔH_f (0 K): -25 kJ per mole of atoms

=====

No. 2
Computed, not measured: a relaxed structure of BaY2Os at the GGA-PBE level of DFT.

a b c (Å): 5.139 5.139 4.056
angles (deg): 90.00 90.00 96.77
Sites, in units of the cell vectors:
1 Ba 0.000 0.000 0.000
2 Y 0.000 0.500 0.500
3 Y 0.500 0.000 0.500
4 Os 0.500 0.500 0.000

ΔH_f (0 K): 58 kJ per mole of atoms